Nd4P3S | GGA-PBE | optimized geometry

Cell lengths 7.1803, 7.1803, 7.1803 Å; angles 131.83, 131.83, 70.50 degrees
With the nearest neighbours (Å) after each atom.
Sites, in units of the cell vectors:
Nd: 0.0000 0.5000 0.5000  2 S 2.93, 4 P 2.93
Nd: 0.2474 0.2474 0.0000  5 P 2.90-2.93, 1 S 2.96
Nd: 0.5000 0.0000 0.5000  2 S 2.93, 4 P 2.93
Nd: 0.7526 0.7526 0.0000  5 P 2.90-2.93, 1 S 2.96
P: 0.0000 0.0000 0.0000  6 Nd 2.90-2.93
P: 0.2500 0.7500 0.5000  6 Nd 2.93
P: 0.7500 0.2500 0.5000  6 Nd 2.93
S: 0.5000 0.5000 0.0000  6 Nd 2.93-2.96

Summary:
Formation energy from raw total energies (eV/atom): -1.713
Volume (Å³ per cell): 201.41

=====

ZrCo2 | GGA-PBE | optimized geometry

Cell lengths 4.8825, 4.8825, 4.8825 Å; angles 60.00, 60.00, 60.00 degrees
With the nearest neighbours (Å) after each atom.
Sites, in units of the cell vectors:
Zr: 0.1250 0.1250 0.1250  12 Co 2.86, 4 Zr 2.99
Zr: 0.8750 0.8750 0.8750  12 Co 2.86, 4 Zr 2.99
Co: 0.0000 0.5000 0.5000  6 Co 2.44
Co: 0.5000 0.0000 0.5000  6 Co 2.44
Co: 0.5000 0.5000 0.0000  6 Co 2.44
Co: 0.5000 0.5000 0.5000  6 Co 2.44

Summary:
Formation energy (eV per atom): -0.3110
Volume (Å³ per cell): 82.30

=====

YBeRe3 | GGA-PBE | optimized geometry

Cell lengths 4.8137, 4.8137, 4.8137 Å; angles 90.00, 90.00, 90.00 degrees
With the nearest neighbours (Å) after each atom.
Sites, in units of the cell vectors:
Y: 0.0000 0.0000 0.0000  6 Re 2.41
Be: 0.5000 0.5000 0.5000  12 Re 3.40
Re: 0.0000 0.0000 0.5000  2 Y 2.41
Re: 0.0000 0.5000 0.0000  2 Y 2.41
Re: 0.5000 0.0000 0.0000  2 Y 2.41

Summary:
Formation energy (eV per atom): 3.4253
Offset from the most stable computed form (eV per atom): 2.818
Volume (Å³ per cell): 111.54

=====

Quick rundown of total DFT energy (no corrections), same order as above: -53.13; -47.39; -30.41 eV/cell
Quick rundown of spin magnetization, same order as above: 0.0; 0.0; 2.4 Bohr magnetons per cell